Entry 1:
Entry from Alexandria via LeMat-Bulk: a relaxed structure of SiMoPt2 (PBE).

The value obtained for the density of states at the Fermi level is 3.283 states/eV/cell. For the final energy, the calculation gives -7.32 eV/atom.

Lattice parameters (Å, degrees): 4.831 4.831 4.655 99.42 99.42 34.15
Fractional coordinates of all 4 atoms:
Si1 0.000 0.000 0.000
Mo1 0.500 0.500 0.500
Pt1 0.252 0.252 0.749
Pt2 0.748 0.748 0.251

Entry 2:
Entry from Alexandria via LeMat-Bulk: a relaxed structure of CuSn2HgPb (PBE).

The value obtained for the density of states at the Fermi level is 2.801 states/eV/cell. For the final energy, the calculation gives -3.01 eV/atom. The formation energy comes out at 0.2106 eV/atom.

Lattice parameters (Å, degrees): 5.153 5.153 5.020 90.00 90.00 90.00
Fractional coordinates of all 5 atoms:
Cu1 0.000 0.000 0.000
Sn1 0.000 0.500 0.000
Sn2 0.500 0.000 0.000
Hg1 0.000 0.000 0.500
Pb1 0.500 0.500 0.500

Question: The highest final energy belongs to which entry?
Answer: CuSn2HgPb

Question: The highest final energy belongs to which entry?
Answer: CuSn2HgPb

Question: final energy of number 2 (CuSn2HgPb)?
Answer: -3.01 eV/atom